# KP3I, optimized geometry, DFT PBE-GGA
# DOS at the Fermi energy (states/eV/atom): 2.709
# ΔE_f (raw) (eV per atom): 1.7788
# Polymorph energy (0 for the lowest one) (kJ per mole of atoms): 71.86
# Energy (eV/atom): -2.00
data_KP3I
_chemical_formula_sum 'K1 P3 I1'
_space_group_name_H-M_alt 'P 1'
_space_group_IT_number 1
_cell_length_a 6.420
_cell_length_b 6.420
_cell_length_c 6.420
_cell_angle_alpha 90.00
_cell_angle_beta 90.00
_cell_angle_gamma 90.00
loop_
_space_group_symop_operation_xyz
'x,y,z'
loop_
_atom_site_label
_atom_site_type_symbol
_atom_site_fract_x
_atom_site_fract_y
_atom_site_fract_z
P1 P 0.000 0.000 0.500
P2 P 0.500 0.000 0.000
P3 P 0.000 0.500 0.000
I1 I 0.500 0.500 0.500
K1 K 0.000 0.000 0.000